Entry 1:
Entry from the Alexandria database: a relaxed structure of LiSm3Hg3 (GGA-PBE).

The space group is C2/m (No. 12) and the conventional cell measures 8.2501, 10.8512 and 8.4912 Å, with angles of 90.00, 95.29 and 90.00 degrees. Symmetry generates all atoms from Li at (0.2273, 0.0000, 0.4571), Sm at (0.0000, 0.2507, 0.5000), Sm at (0.0000, 0.3228, 0.0000), Sm at (0.1134, 0.0000, 0.8316), Hg at (0.0368, 0.5000, 0.3047) and Hg at (0.2170, 0.1608, 0.2203).

For the total DFT energy (no corrections), the calculation gives -2.72 eV/atom. For the offset from the most stable computed form, the calculation gives 0 meV/atom. Its volume is 27.03 A^3/atom.

---

Entry 2:
Entry from the Alexandria database: a relaxed structure of LiCaNdGe (GGA-PBE).

The space group is F-43m (No. 216) and the conventional cell measures 7.3402, 7.3402 and 7.3402 Å, with angles of 90.00, 90.00 and 90.00 degrees. Symmetry generates all atoms from Li at (0.0000, 0.0000, 0.0000), Ca at (0.2500, 0.2500, 0.7500), Nd at (0.2500, 0.2500, 0.2500) and Ge at (0.0000, 0.0000, 0.5000).

For the total DFT energy (no corrections), the calculation gives -3.71 eV/atom. Its volume is 24.72 A^3/atom.

---

Entry 3:
Entry from the Alexandria database: a relaxed structure of La2NdNi (GGA-PBE).

The space group is R3m (No. 160, hexagonal axes) and the conventional cell measures 3.9303, 3.9303 and 28.2900 Å, with angles of 90.00, 90.00 and 120.00 degrees. Symmetry generates all atoms from La at (0.0000, 0.0000, 0.0000), La at (0.0000, 0.0000, 0.2131), Nd at (0.0000, 0.0000, 0.4397) and Ni at (0.0000, 0.0000, 0.6062).

For the total DFT energy (no corrections), the calculation gives -5.19 eV/atom. For the offset from the most stable computed form, the calculation gives 93 meV/atom. Its volume is 31.54 A^3/atom.

---

Entry 4:
Entry from the Alexandria database: a relaxed structure of Ho5PuIn3 (GGA-PBE).

The space group is P6_3/mcm (No. 193) and the conventional cell measures 9.2864, 9.2864 and 6.6280 Å, with angles of 90.00, 90.00 and 120.00 degrees. Symmetry generates all atoms from Ho at (0.0000, 0.3172, 0.2500), Ho at (0.3333, 0.6667, 0.0000), Pu at (0.0000, 0.0000, 0.0000) and In at (0.0000, 0.3483, 0.7500).

For the total DFT energy (no corrections), the calculation gives -5.38 eV/atom. Its volume is 27.50 A^3/atom.

---

Entry 5:
Entry from the Alexandria database: a relaxed structure of LaAgOs2 (GGA-PBE).

The space group is Fm-3m (No. 225) and the conventional cell measures 6.7099, 6.7099 and 6.7099 Å, with angles of 90.00, 90.00 and 90.00 degrees. Symmetry generates all atoms from La at (0.0000, 0.0000, 0.0000), Ag at (0.0000, 0.0000, 0.5000) and Os at (0.2500, 0.2500, 0.2500).

For the total DFT energy (no corrections), the calculation gives -6.64 eV/atom. For the offset from the most stable computed form, the calculation gives 633 meV/atom. Its volume is 18.88 A^3/atom.

---

Entry 6:
Entry from the Alexandria database: a relaxed structure of Na2SF (GGA-PBE).

The space group is Fm-3m (No. 225) and the conventional cell measures 6.5704, 6.5704 and 6.5704 Å, with angles of 90.00, 90.00 and 90.00 degrees. Symmetry generates all atoms from Na at (0.2500, 0.2500, 0.2500), S at (0.0000, 0.0000, 0.0000) and F at (0.0000, 0.0000, 0.5000).

For the total DFT energy (no corrections), the calculation gives -3.38 eV/atom. For the offset from the most stable computed form, the calculation gives 240 meV/atom. Its volume is 17.73 A^3/atom.

---

Entry 7:
Entry from the Alexandria database: a relaxed structure of K2SbPb2 (GGA-PBE).

The space group is C2/m (No. 12) and the conventional cell measures 12.4874, 5.7145 and 12.1824 Å, with angles of 90.00, 117.76 and 90.00 degrees. Symmetry generates all atoms from K at (0.0071, 0.0000, 0.1811), K at (0.1785, 0.0000, 0.6138), Sb at (0.2068, 0.5000, 0.8342), Pb at (0.0403, 0.5000, 0.3998) and Pb at (0.1553, 0.5000, 0.0572).

For the total DFT energy (no corrections), the calculation gives -2.96 eV/atom. For the offset from the most stable computed form, the calculation gives 0 meV/atom. Its volume is 38.46 A^3/atom.

---

Entry 8:
Entry from the Alexandria database: a relaxed structure of ZrZn2Ru (GGA-PBE).

The space group is P2/m (No. 10) and the conventional cell measures 2.9669, 3.9535 and 5.4684 Å, with angles of 90.00, 90.29 and 90.00 degrees. Symmetry generates all atoms from Zr at (0.0000, 0.0000, 0.0000), Zn at (0.4982, 0.5000, 0.7230) and Ru at (0.0000, 0.0000, 0.5000).

For the total DFT energy (no corrections), the calculation gives -5.27 eV/atom. Its volume is 16.04 A^3/atom.

---

Entry 9:
Entry from the Alexandria database: a relaxed structure of NbGa4Tc (GGA-PBE).

The space group is P2/c (No. 13) and the conventional cell measures 6.2335, 5.0230 and 6.0630 Å, with angles of 90.00, 93.07 and 90.00 degrees. Symmetry generates all atoms from Nb at (0.0000, 0.1243, 0.2500), Ga at (0.1828, 0.3824, 0.9198), Ga at (0.3429, 0.1270, 0.5822) and Tc at (0.5000, 0.3733, 0.2500).

For the total DFT energy (no corrections), the calculation gives -5.66 eV/atom. Its volume is 15.80 A^3/atom.

---

Entry 10:
Entry from the Alexandria database: a relaxed structure of Pm4TlSbO (GGA-PBE).

The space group is Cmcm (No. 63) and the conventional cell measures 6.5606, 17.5233 and 6.6368 Å, with angles of 90.00, 90.00 and 90.00 degrees. Symmetry generates all atoms from Pm at (0.0000, 0.0702, 0.2500), Pm at (0.0000, 0.4227, 0.2500), Pm at (0.2500, 0.2500, 0.0000), Tl at (0.0000, 0.3908, 0.7500), Sb at (0.0000, 0.1125, 0.7500) and O at (0.0000, 0.2867, 0.2500).

For the total DFT energy (no corrections), the calculation gives -5.59 eV/atom. Its volume is 27.25 A^3/atom.

---

Entry 11:
Entry from the Alexandria database: a relaxed structure of Ac2In5Pt3 (GGA-PBE).

The space group is Ibam (No. 72) and the conventional cell measures 11.6448, 13.0511 and 6.5551 Å, with angles of 90.00, 90.00 and 90.00 degrees. Symmetry generates all atoms from Ac at (0.2428, 0.1330, 0.0000), In at (0.0000, 0.0000, 0.2500), In at (0.0000, 0.2561, 0.2500), In at (0.1433, 0.3949, 0.0000), Pt at (0.0000, 0.5000, 0.2500) and Pt at (0.1290, 0.1302, 0.5000).

For the total DFT energy (no corrections), the calculation gives -4.69 eV/atom. For the offset from the most stable computed form, the calculation gives 45 meV/atom. Its volume is 24.91 A^3/atom.

---

Entry 12:
Entry from the Alexandria database: a relaxed structure of Ho5Tc (GGA-PBE).

The space group is Cmmm (No. 65) and the conventional cell measures 4.8379, 13.0984 and 5.0784 Å, with angles of 90.00, 90.00 and 90.00 degrees. Symmetry generates all atoms from Ho at (0.0000, 0.0000, 0.0000), Ho at (0.0000, 0.1437, 0.5000), Ho at (0.0000, 0.3461, 0.0000) and Tc at (0.0000, 0.5000, 0.5000).

For the total DFT energy (no corrections), the calculation gives -5.40 eV/atom. For the offset from the most stable computed form, the calculation gives 160 meV/atom. Its volume is 26.82 A^3/atom.